Record 1
# ReAsI2O PBE-GGA relaxed
data_ReAsI2O
_symmetry_space_group_name_H-M 'P 1'
_symmetry_Int_Tables_number 1
_symmetry_space_group_name_Hall 'P 1'
_cell_length_a 5.858
_cell_length_b 5.858
_cell_length_c 3.766
_cell_angle_alpha 90.00
_cell_angle_beta 90.00
_cell_angle_gamma 90.00
loop_
_atom_site_label
_atom_site_fract_x
_atom_site_fract_y
_atom_site_fract_z
I1 0.000 0.500 0.000
I2 0.500 0.000 0.000
Re1 0.500 0.500 0.500
As1 0.000 0.000 0.000
O1 0.000 0.000 0.500
# Space group   No. 123
# Crystal system   tetragonal
# Energy relative to the elements, uncorrected   22.02 kcal/mol of atoms
# Distance to the lowest polymorph of the same formula   745 meV/atom

Record 2
# FeHgPb2 PBE-GGA relaxed
data_FeHgPb2
_symmetry_space_group_name_H-M 'P 1'
_symmetry_Int_Tables_number 1
_symmetry_space_group_name_Hall 'P 1'
_cell_length_a 3.504
_cell_length_b 6.041
_cell_length_c 6.137
_cell_angle_alpha 49.85
_cell_angle_beta 90.00
_cell_angle_gamma 90.00
loop_
_atom_site_label
_atom_site_fract_x
_atom_site_fract_y
_atom_site_fract_z
Fe1 0.500 0.500 0.500
Hg1 0.000 0.000 0.500
Pb1 0.000 0.000 0.000
Pb2 0.500 0.500 0.000
# Space group   No. 10
# Crystal system   monoclinic
# Formation enthalpy at 0 K   0.516 eV per atom

Record 3
# CeScSn PBE-GGA relaxed
data_CeScSn
_symmetry_space_group_name_H-M 'P 1'
_symmetry_Int_Tables_number 1
_symmetry_space_group_name_Hall 'P 1'
_cell_length_a 4.222
_cell_length_b 4.222
_cell_length_c 9.042
_cell_angle_alpha 103.50
_cell_angle_beta 103.50
_cell_angle_gamma 90.00
loop_
_atom_site_label
_atom_site_fract_x
_atom_site_fract_y
_atom_site_fract_z
Ce1 0.000 0.500 0.000
Ce2 0.500 0.000 0.000
Sc1 0.177 0.177 0.355
Sc2 0.823 0.823 0.645
Sn1 0.352 0.352 0.704
Sn2 0.648 0.648 0.296
# Space group   No. 139
# Crystal system   tetragonal
# Formation enthalpy at 0 K   -0.525 eV per atom
# Distance to the lowest polymorph of the same formula   57 meV/atom